Sm8Ga3CoBr4: relaxed, PBE-GGA.

Lattice parameters (Å, degrees): 8.360 8.360 8.821 118.52 118.52 59.64
Element x y z (fractional)
Sm 0.225 0.761 0.710
Sm 0.226 0.226 0.712
Sm 0.239 0.775 0.290
Sm 0.255 0.255 0.266
Sm 0.745 0.745 0.734
Sm 0.761 0.225 0.710
Sm 0.774 0.774 0.288
Sm 0.775 0.239 0.290
Ga 0.000 0.500 0.500
Ga 0.500 0.000 0.500
Ga 0.500 0.500 0.500
Co 0.000 0.000 0.500
Br 0.000 0.000 0.000
Br 0.000 0.500 0.000
Br 0.500 0.000 0.000
Br 0.500 0.500 0.000

## Properties
The calculation puts the total magnetization at 0.0 μB/f.u. The calculation puts the uncorrected formation energy at -0.815 eV per atom. For the calculated total energy, the calculation gives -4.605 eV per atom.